No. 1
LaBeCoGe | OQMD via LeMat-Bulk | PBE | optimized geometry; polymorph energy (0 for the lowest one) = 0.0 meV per atom; spin magnetization = 0.00 μB per formula unit; volume = 65.9 Å³ per cell
1.0
0.000 3.205 3.205
3.205 0.000 3.205
3.205 3.205 0.000
La Be Co Ge
1 1 1 1
Cartesian
0.000 0.000 0.000
4.808 4.808 4.808
1.603 1.603 1.603
3.205 3.205 3.205

=====

No. 2
ScBeZnAs | OQMD via LeMat-Bulk | PBE | optimized geometry; polymorph energy (0 for the lowest one) = 122.3 meV per atom; spin magnetization = 0.01 μB per formula unit; volume = 66.1 Å³ per cell
1.0
0.000 3.209 3.209
3.209 0.000 3.209
3.209 3.209 0.000
Sc Be Zn As
1 1 1 1
Cartesian
0.000 0.000 0.000
1.605 1.605 1.605
4.814 4.814 4.814
3.209 3.209 3.209